(1)
Computed, not measured: crystalline LuZnGaTe3 at its relaxed geometry at the PBE level of DFT.

Values from the calculation:
crystal system	orthorhombic
ρ	6.54	Mg/m³
E	-44.9	eV per cell

Unit cell a=7.636 b=7.636 c=11.296 alpha=90.00 beta=90.00 gamma=147.69
Sites, in units of the cell vectors:
Lu 0.000 0.000 0.000
Lu 0.000 0.000 0.500
Zn 0.469 0.531 0.750
Zn 0.531 0.469 0.250
Ga 0.236 0.764 0.250
Ga 0.764 0.236 0.750
Te 0.084 0.916 0.750
Te 0.360 0.640 0.562
Te 0.360 0.640 0.938
Te 0.640 0.360 0.062
Te 0.640 0.360 0.438
Te 0.916 0.084 0.250

---

(2)
Computed, not measured: crystalline Tb2Fe2C3 at its relaxed geometry at the PBE level of DFT.

Values from the calculation:
crystal system	monoclinic
ρ	8.85	Mg/m³
E	-110.7	eV per cell

Unit cell a=10.019 b=3.413 c=6.150 alpha=90.00 beta=123.83 gamma=90.00
Sites, in units of the cell vectors:
Tb 0.069 0.000 0.331
Tb 0.431 0.500 0.669
Tb 0.569 0.500 0.331
Tb 0.931 0.000 0.669
Fe 0.203 0.500 0.086
Fe 0.297 0.000 0.914
Fe 0.703 0.000 0.086
Fe 0.797 0.500 0.914
C 0.000 0.500 0.000
C 0.195 0.500 0.755
C 0.305 0.000 0.245
C 0.500 0.000 0.000
C 0.695 0.000 0.755
C 0.805 0.500 0.245

---

(3)
Computed, not measured: crystalline LiHgPb2 at its relaxed geometry at the PBE level of DFT.

Values from the calculation:
crystal system	cubic
ρ	9.51	Mg/m³
E	-39.7	eV per cell

Unit cell a=7.574 b=7.574 c=7.574 alpha=90.00 beta=90.00 gamma=90.00
Sites, in units of the cell vectors:
Li 0.000 0.000 0.000
Li 0.000 0.500 0.500
Li 0.500 0.000 0.500
Li 0.500 0.500 0.000
Hg 0.250 0.250 0.250
Hg 0.250 0.750 0.750
Hg 0.750 0.250 0.750
Hg 0.750 0.750 0.250
Pb 0.000 0.000 0.500
Pb 0.000 0.500 0.000
Pb 0.250 0.250 0.750
Pb 0.250 0.750 0.250
Pb 0.500 0.000 0.000
Pb 0.500 0.500 0.500
Pb 0.750 0.250 0.250
Pb 0.750 0.750 0.750